First-principles (PBE) data for a geometry-optimized CsIn2Hg9 structure, as listed in Alexandria. Values from VASP.

Quantum ESPRESSO input file:
```
&SYSTEM
  ibrav = 0, nat = 12, ntyp = 3
/
ATOMIC_SPECIES
Cs 132.91 Cs.upf
In 114.82 In.upf
Hg 200.59 Hg.upf
ATOMIC_POSITIONS angstrom
Cs 0.0000 0.0000 0.0000
In -0.7391 0.0000 4.8174
In 6.7395 0.0000 5.7226
Hg 2.6766 1.6316 2.6593
Hg 3.7296 0.0000 0.0294
Hg 0.5707 0.0000 7.6078
Hg 3.3238 1.6316 7.8807
Hg 3.0002 0.0000 5.2700
Hg 2.6766 -1.6316 2.6593
Hg 5.4297 0.0000 2.9322
Hg 2.2707 0.0000 10.5106
Hg 3.3238 -1.6316 7.8807
CELL_PARAMETERS angstrom
5.4639 -3.2117 0.0000
5.4639 3.2117 0.0000
-4.9275 0.0000 10.5400
```

Summary:
space-group type	C2/m, No. 12
relative energy among the computed polymorphs	0.022	eV/atom
DOS(E_F)	3.272	states/eV/f.u.